[1]
The following is a PBE calculation of crystalline CdGaI at its relaxed geometry, from Alexandria.

Structure (CIF):
```
data_CdGaI
_space_group_name_H-M_alt 'P 1'
_space_group_IT_number 1
_cell_length_a 12.444
_cell_length_b 4.113
_cell_length_c 4.113
_cell_angle_alpha 60.01
_cell_angle_beta 90.00
_cell_angle_gamma 90.00
loop_
_space_group_symop_operation_xyz
'x,y,z'
loop_
_atom_site_label
_atom_site_fract_x
_atom_site_fract_y
_atom_site_fract_z
_atom_site_occupancy
Cd1 0.140 0.000 0.000 1
Cd2 0.860 0.000 0.000 1
Ga1 0.000 0.667 0.667 1
Ga2 0.500 0.665 0.665 1
I1 0.321 0.332 0.332 1
I2 0.679 0.332 0.332 1
```

Computed properties:
Offset from the most stable computed form: 0.000 eV per formula unit
Total energy: -11.6 eV/cell
Energy relative to the elements, uncorrected: -0.31 eV/f.u.
Density of states at the Fermi level: 0.145 states/eV/atom

---

[2]
The following is a PBE calculation of crystalline Pu2AsPt at its relaxed geometry, from Alexandria.

Structure (CIF):
```
data_Pu2AsPt
_space_group_name_H-M_alt 'P 1'
_space_group_IT_number 1
_cell_length_a 4.882
_cell_length_b 4.882
_cell_length_c 3.679
_cell_angle_alpha 90.00
_cell_angle_beta 90.00
_cell_angle_gamma 90.00
loop_
_space_group_symop_operation_xyz
'x,y,z'
loop_
_atom_site_label
_atom_site_fract_x
_atom_site_fract_y
_atom_site_fract_z
_atom_site_occupancy
Pu1 0.000 0.500 0.000 1
Pu2 0.500 0.000 0.000 1
As1 0.000 0.000 0.500 1
Pt1 0.500 0.500 0.500 1
```

Computed properties:
Offset from the most stable computed form: 0.202 eV per formula unit
Total energy: -42.4 eV/cell
Calculated formation energy: -3.086 eV per formula unit
Density of states at the Fermi level: 3.840 states/eV/atom